P:
A geometry-optimized Zr2C2Se structure, computed with GGA-PBE.

Calculated values
V   82.8 Å³ per cell
Theoretical density   5.7 g/cm3
Total magnetic moment   0.0 Bohr magnetons per cell

Geometry as POSCAR:
```
Zr2C2Se
1.0
3.676 0.000 0.000
0.000 3.676 0.000
1.838 1.838 6.127
C Zr Se
2 2 1
Direct
0.250 0.750 0.500
0.750 0.250 0.500
0.652 0.652 0.696
0.348 0.348 0.304
0.000 0.000 0.000
```

=====

Q:
A geometry-optimized Zr2C2Se structure, computed with GGA-PBE.

Calculated values
V   156.6 Å³ per cell
Theoretical density   6.1 g/cm3
Total magnetic moment   0.0 Bohr magnetons per cell

Geometry as POSCAR:
```
Zr2C2Se
1.0
6.927 0.000 0.000
0.000 6.927 0.000
0.000 0.000 3.263
Zr C Se
4 4 2
Direct
0.659 0.159 0.000
0.341 0.841 0.000
0.159 0.341 0.000
0.841 0.659 0.000
0.575 0.925 0.500
0.425 0.075 0.500
0.075 0.575 0.500
0.925 0.425 0.500
0.500 0.500 0.000
0.000 0.000 0.000
```

=====

Stability, highest: Q